Entry 1:
The following is a DFT calculation (PBE) of a relaxed structure of TiSb2H.

- energy above the lowest structure with this stoichiometry (meV per atom) = 0.0
- space group = I-42d

Unit cell a=5.7116 b=5.7116 c=5.7116 alpha=110.54 beta=110.54 gamma=107.36
Fractional coordinates of all 8 atoms:
Ti1 0.0000 0.0000 0.0000
Ti2 0.7500 0.2500 0.5000
Sb1 0.2052 0.6250 0.0802
Sb2 0.3750 0.4552 0.5802
Sb3 0.5448 0.1250 0.9198
Sb4 0.8750 0.7948 0.4198
H1 0.2500 0.7500 0.5000
H2 0.5000 0.5000 0.0000



Entry 2:
The following is a DFT calculation (PBE) of a relaxed structure of Mg2ZrC.

- formation enthalpy at 0 K (eV per atom) = 0.39
- space group = I-42d

Unit cell a=5.9755 b=5.9755 c=5.9755 alpha=98.97 beta=98.97 gamma=133.49
Fractional coordinates of all 8 atoms:
Mg1 0.0218 0.1250 0.3968
Mg2 0.3750 0.9782 0.1032
Mg3 0.7282 0.6250 0.6032
Mg4 0.8750 0.2718 0.8968
Zr1 0.2500 0.7500 0.5000
Zr2 0.5000 0.5000 0.0000
C1 0.0000 0.0000 0.0000
C2 0.7500 0.2500 0.5000



Entry 3:
The following is a DFT calculation (PBE) of a relaxed structure of Rb2LiCu.

- energy above the lowest structure with this stoichiometry (meV per atom) = 0.0
- formation enthalpy at 0 K (eV per atom) = 0.30
- space group = I-42d

Unit cell a=9.2288 b=9.2288 c=9.2288 alpha=94.37 beta=94.37 gamma=147.96
Fractional coordinates of all 8 atoms:
Rb1 0.3750 0.0365 0.1615
Rb2 0.7865 0.6250 0.6615
Rb3 0.8750 0.2135 0.8385
Rb4 0.9635 0.1250 0.3385
Li1 0.2500 0.7500 0.5000
Li2 0.5000 0.5000 0.0000
Cu1 0.0000 0.0000 0.0000
Cu2 0.7500 0.2500 0.5000



Entry 4:
The following is a DFT calculation (PBE) of a relaxed structure of NbP2IO.

- energy above the lowest structure with this stoichiometry (meV per atom) = 0.0
- ΔE_f (raw) (eV/f.u.) = -1.32
- space group = P4/mmm

Unit cell a=5.0425 b=5.0425 c=3.9497 alpha=90.00 beta=90.00 gamma=90.00
Fractional coordinates of all 5 atoms:
Nb1 0.0000 0.0000 0.0000
P1 0.0000 0.5000 0.0000
P2 0.5000 0.0000 0.0000
I1 0.5000 0.5000 0.5000
O1 0.0000 0.0000 0.5000



Entry 5:
The following is a DFT calculation (PBE) of a relaxed structure of Sc4C2Cl.

- ΔE_f (raw) (eV/f.u.) = -5.97
- space group = R-3m

Unit cell a=12.1279 b=12.1279 c=12.1279 alpha=16.02 beta=16.02 gamma=16.02
Fractional coordinates of all 7 atoms:
Sc1 0.1235 0.1235 0.1235
Sc2 0.2764 0.2764 0.2764
Sc3 0.7236 0.7236 0.7236
Sc4 0.8765 0.8765 0.8765
C1 0.4210 0.4210 0.4210
C2 0.5790 0.5790 0.5790
Cl1 0.0000 0.0000 0.0000



Entry 6:
The following is a DFT calculation (PBE) of a relaxed structure of Na2UTi2S6.

- ΔE_f (raw) (eV/f.u.) = -15.12
- space group = C2/m

Unit cell a=6.3672 b=6.3672 c=7.1488 alpha=98.36 beta=98.36 gamma=120.65
Fractional coordinates of all 11 atoms:
Na1 0.1631 0.8369 0.0000
Na2 0.8369 0.1631 0.0000
U1 0.0000 0.0000 0.5000
Ti1 0.3326 0.6674 0.5000
Ti2 0.6674 0.3326 0.5000
S1 0.0678 0.4201 0.7114
S2 0.2830 0.2830 0.2886
S3 0.4201 0.0678 0.7114
S4 0.5799 0.9322 0.2886
S5 0.7170 0.7170 0.7114
S6 0.9322 0.5799 0.2886



Entry 7:
The following is a DFT calculation (PBE) of a relaxed structure of NdTmAs2.

- energy above the lowest structure with this stoichiometry (meV per atom) = 166.1
- formation enthalpy at 0 K (eV per atom) = -1.33
- space group = R3m

Unit cell a=7.4799 b=7.4799 c=7.4799 alpha=32.10 beta=32.10 gamma=32.10
Fractional coordinates of all 4 atoms:
Nd1 0.0000 0.0000 0.0000
Tm1 0.8286 0.8286 0.8286
As1 0.4168 0.4168 0.4168
As2 0.5777 0.5777 0.5777



Entry 8:
The following is a DFT calculation (PBE) of a relaxed structure of Li2ZnGe.

- formation enthalpy at 0 K (eV per atom) = -0.23
- space group = Pmma

Unit cell a=3.9546 b=4.1014 c=7.6033 alpha=90.00 beta=90.00 gamma=90.00
Fractional coordinates of all 8 atoms:
Li1 0.2500 0.0000 0.1183
Li2 0.2500 0.0000 0.6320
Li3 0.7500 0.0000 0.3680
Li4 0.7500 0.0000 0.8817
Zn1 0.2500 0.5000 0.3773
Zn2 0.7500 0.5000 0.6227
Ge1 0.2500 0.5000 0.8744
Ge2 0.7500 0.5000 0.1256



Entry 9:
The following is a DFT calculation (PBE) of a relaxed structure of Zr2CdB2.

- energy above the lowest structure with this stoichiometry (meV per atom) = 631.6
- formation enthalpy at 0 K (eV per atom) = 0.21
- space group = I4/mmm

Unit cell a=5.5380 b=5.5380 c=5.5380 alpha=135.19 beta=135.19 gamma=65.24
Fractional coordinates of all 5 atoms:
Zr1 0.2500 0.7500 0.5000
Zr2 0.7500 0.2500 0.5000
Cd1 0.0000 0.0000 0.0000
B1 0.4134 0.4134 0.0000
B2 0.5866 0.5866 0.0000



Entry 10:
The following is a DFT calculation (PBE) of a relaxed structure of LaTbAs.

- formation enthalpy at 0 K (eV per atom) = -0.53
- space group = Cmcm

Unit cell a=6.5984 b=6.5984 c=5.9329 alpha=90.00 beta=90.00 gamma=125.75
Fractional coordinates of all 6 atoms:
La1 0.1977 0.8023 0.7500
La2 0.8023 0.1977 0.2500
Tb1 0.5000 0.5000 0.0000
Tb2 0.5000 0.5000 0.5000
As1 0.2880 0.7120 0.2500
As2 0.7120 0.2880 0.7500